No. 1
DFT (GGA-PBEsol) results for an optimized crystal structure of MoPd2IBr.

Cell: 4.7479 4.7479 4.9568 Å, 90.00 90.00 90.00°
Last column: nearest neighbours and their distance in Å.
Space group P4/mmm (No. 123)
Symmetry-distinct sites (fractional):
Mo 0.0000 0.0000 0.0000  2 Br 2.48
Pd 0.0000 0.5000 0.5000  2 Br 2.37
I 0.5000 0.5000 0.0000  4 Mo 3.36, 8 Pd 3.43
Br 0.0000 0.0000 0.5000  4 Pd 2.37, 2 Mo 2.48

Calculated values
N(E_F)   3.20 states/eV/cell
Spin magnetization   3.4 μB/cell
E_form (uncorrected)   5.0 eV per formula unit
VASP energy   -4.460 eV per atom

No. 2
DFT (GGA-PBEsol) results for an optimized crystal structure of TeMoI2Br.

Cell: 5.3672 5.3672 5.1833 Å, 90.00 90.00 90.00°
Last column: nearest neighbours and their distance in Å.
Space group P4/mmm (No. 123)
Symmetry-distinct sites (fractional):
Te 0.0000 0.0000 0.0000  2 Mo 2.59
Mo 0.0000 0.0000 0.5000  2 Te 2.59, 4 I 2.68
I 0.0000 0.5000 0.5000  2 Mo 2.68
Br 0.5000 0.5000 0.0000  8 I 3.73, 4 Te 3.80

Calculated values
N(E_F)   4.43 states/eV/cell
Spin magnetization   0.0 μB/cell
E_form (uncorrected)   1.3 eV per formula unit
VASP energy   -3.881 eV per atom

No. 3
DFT (GGA-PBEsol) results for an optimized crystal structure of NiIBrN2.

Cell: 3.9118 3.9118 5.6495 Å, 90.00 90.00 90.00°
Last column: nearest neighbours and their distance in Å.
Space group P4/mmm (No. 123)
Symmetry-distinct sites (fractional):
Ni 0.0000 0.0000 0.0000  4 N 1.96
I 0.0000 0.0000 0.5000  4 Br 2.77, 2 Ni 2.82
Br 0.5000 0.5000 0.5000  4 I 2.77
N 0.0000 0.5000 0.0000  2 Ni 1.96

Calculated values
N(E_F)   1.79 states/eV/cell
Spin magnetization   4.1 μB/cell
E_form (uncorrected)   7.0 eV per formula unit
VASP energy   -3.978 eV per atom

No. 4
DFT (GGA-PBEsol) results for an optimized crystal structure of RbI2BrN.

Cell: 6.7570 6.7570 5.6339 Å, 90.00 90.00 90.00°
Last column: nearest neighbours and their distance in Å.
Space group P4/mmm (No. 123)
Symmetry-distinct sites (fractional):
Rb 0.0000 0.0000 0.0000  2 N 2.82
I 0.0000 0.5000 0.0000  2 Rb 3.38
Br 0.5000 0.5000 0.5000  8 I 4.40, 4 N 4.78
N 0.0000 0.0000 0.5000  2 Rb 2.82

Calculated values
N(E_F)   6.09 states/eV/cell
Spin magnetization   5.0 μB/cell
E_form (uncorrected)   5.1 eV per formula unit
VASP energy   -1.976 eV per atom

No. 5
DFT (GGA-PBEsol) results for an optimized crystal structure of RhI2BrN.

Cell: 4.9306 4.9306 4.3065 Å, 90.00 90.00 90.00°
Last column: nearest neighbours and their distance in Å.
Space group P4/mmm (No. 123)
Symmetry-distinct sites (fractional):
Rh 0.0000 0.0000 0.0000  8 I 3.27, 4 Br 3.49
I 0.0000 0.5000 0.5000  2 N 2.47
Br 0.5000 0.5000 0.0000  2 N 2.15
N 0.5000 0.5000 0.5000  2 Br 2.15

Calculated values
N(E_F)   6.68 states/eV/cell
Spin magnetization   1.5 μB/cell
E_form (uncorrected)   6.5 eV per formula unit
VASP energy   -3.104 eV per atom

No. 6
DFT (GGA-PBEsol) results for an optimized crystal structure of RuIBrN2.

Cell: 3.8182 3.8182 6.6948 Å, 90.00 90.00 90.00°
Last column: nearest neighbours and their distance in Å.
Space group P4/mmm (No. 123)
Symmetry-distinct sites (fractional):
Ru 0.0000 0.0000 0.0000  4 I 2.70
I 0.5000 0.5000 0.0000  4 Ru 2.70
Br 0.5000 0.5000 0.5000  4 N 1.91
N 0.0000 0.5000 0.5000  2 Br 1.91

Calculated values
N(E_F)   5.50 states/eV/cell
Spin magnetization   2.7 μB/cell
E_form (uncorrected)   12.0 eV per formula unit
VASP energy   -3.763 eV per atom

No. 7
DFT (GGA-PBEsol) results for an optimized crystal structure of SbI2BrN.

Cell: 6.1950 6.1950 3.6841 Å, 90.00 90.00 90.00°
Last column: nearest neighbours and their distance in Å.
Space group P4/mmm (No. 123)
Symmetry-distinct sites (fractional):
Sb 0.0000 0.0000 0.0000  8 I 3.60, 2 Sb 3.68
I 0.0000 0.5000 0.5000  2 Br 3.10
Br 0.5000 0.5000 0.5000  2 N 1.84
N 0.5000 0.5000 0.0000  2 Br 1.84

Calculated values
N(E_F)   4.48 states/eV/cell
Spin magnetization   0.0 μB/cell
E_form (uncorrected)   5.7 eV per formula unit
VASP energy   -2.548 eV per atom

No. 8
DFT (GGA-PBEsol) results for an optimized crystal structure of SnIBrN2.

Cell: 4.1461 4.1461 6.2815 Å, 90.00 90.00 90.00°
Last column: nearest neighbours and their distance in Å.
Space group P4/mmm (No. 123)
Symmetry-distinct sites (fractional):
Sn 0.0000 0.0000 0.0000  4 Br 2.93
I 0.5000 0.5000 0.5000  4 N 2.07
Br 0.5000 0.5000 0.0000  4 Sn 2.93, 2 I 3.14
N 0.0000 0.5000 0.5000  2 I 2.07

Calculated values
N(E_F)   3.40 states/eV/cell
Spin magnetization   0.0 μB/cell
ΔE to the lowest computed polymorph   0.0 kJ/mol of atoms
E_form (uncorrected)   7.4 eV per formula unit
VASP energy   -3.511 eV per atom